A plane-wave DFT calculation with GGA-PBE was carried out for a geometry-optimized Li2CaVCl structure.

Cell lengths 5.8873, 5.8873, 4.9492 Å; angles 90.00, 90.00, 90.00 degrees
Space group P4/mmm (No. 123)
Symmetry-distinct sites (fractional):
Li: 0.0000 0.5000 0.0000 x2
Ca: 0.0000 0.0000 0.0000 x1
V: 0.5000 0.5000 0.5000 x1
Cl: 0.0000 0.0000 0.5000 x1

theoretical density = 1.36 g/cm³
volume = 34.3 A^3/atom
crystal system = tetragonal
raw formation energy = 0.835 eV/atom
total magnetic moment = 0.20 μB/cell


A plane-wave DFT calculation with GGA-PBE was carried out for a geometry-optimized Cs2BaWCl6 structure.

Cell lengths 10.9691, 10.9691, 10.9691 Å; angles 90.00, 90.00, 90.00 degrees
Space group Fm-3m (No. 225)
Symmetry-distinct sites (fractional):
Cs: 0.2500 0.2500 0.2500 x8
Ba: 0.0000 0.0000 0.0000 x4
W: 0.0000 0.0000 0.5000 x4
Cl: 0.0000 0.0000 0.2746 x24

theoretical density = 4.02 g/cm³
volume = 33.0 A^3/atom
crystal system = cubic
raw formation energy = -1.458 eV/atom
total magnetic moment = 8.00 μB/cell


A plane-wave DFT calculation with GGA-PBE was carried out for a geometry-optimized Ba2Bi2H4Pt structure.

Cell lengths 6.8213, 6.8213, 8.8515 Å; angles 90.00, 90.00, 90.00 degrees
Space group I4/mmm (No. 139)
Symmetry-distinct sites (fractional):
Ba: 0.0000 0.5000 0.2500 x4
Bi: 0.0000 0.0000 0.1705 x4
H: 0.1735 0.1735 0.5000 x8
Pt: 0.0000 0.0000 0.5000 x2

theoretical density = 7.19 g/cm³
DFT total energy = -3.80 eV/atom
volume = 22.9 A^3/atom
crystal system = tetragonal
total magnetic moment = 0.00 μB/cell


A plane-wave DFT calculation with GGA-PBE was carried out for a geometry-optimized Pr4Dy3YTe8 structure.

Cell lengths 8.7830, 8.7830, 22.3229 Å; angles 90.00, 90.00, 120.00 degrees
Space group R-3m (No. 166, hexagonal axes)
Symmetry-distinct sites (fractional):
Pr: 0.0000 0.0000 0.0000 x3
Pr: 0.0000 0.5000 0.0000 x9
Dy: 0.0000 0.5000 0.5000 x9
Y: 0.0000 0.0000 0.5000 x3
Te: 0.0000 0.0000 0.2449 x6
Te: 0.9995 0.4998 0.2450 x18

theoretical density = 7.22 g/cm³
volume = 31.1 A^3/atom
crystal system = trigonal
raw formation energy = -1.366 eV/atom
total magnetic moment = 0.00 μB/cell